! TbPmLu2, optimized geometry, DFT PBE-GGA; values from VASP
&SYSTEM
  ibrav = 0, nat = 4, ntyp = 3
/
ATOMIC_SPECIES
Lu 174.97 Lu.upf
Tb 158.93 Tb.upf
Pm 145.00 Pm.upf
ATOMIC_POSITIONS crystal
Lu 0.000 0.000 0.253
Lu 0.000 0.000 0.747
Tb 0.500 0.500 0.500
Pm 0.500 0.500 0.000
CELL_PARAMETERS angstrom
3.545 0.000 0.000
0.000 3.545 0.000
0.000 0.000 9.923
! Formation energy from the elements   0.0293 eV per atom
! Relative energy among the computed polymorphs   0.07 kcal/mol of atoms

---

! TiBeAl2, optimized geometry, DFT PBE-GGA; values from VASP
&SYSTEM
  ibrav = 0, nat = 4, ntyp = 3
/
ATOMIC_SPECIES
Be 9.01 Be.upf
Al 26.98 Al.upf
Ti 47.87 Ti.upf
ATOMIC_POSITIONS crystal
Be 0.000 0.000 0.000
Al 0.721 0.721 0.838
Al 0.279 0.279 0.162
Ti 0.500 0.500 0.500
CELL_PARAMETERS angstrom
3.945 0.000 0.000
1.972 3.416 0.000
1.972 1.139 4.438
! Formation energy from the elements   -0.0151 eV per atom

---

! Zr2Sc, optimized geometry, DFT PBE-GGA; values from VASP
&SYSTEM
  ibrav = 0, nat = 6, ntyp = 2
/
ATOMIC_SPECIES
Sc 44.96 Sc.upf
Zr 91.22 Zr.upf
ATOMIC_POSITIONS crystal
Sc 0.000 0.000 0.000
Sc 0.250 0.250 0.250
Zr 0.625 0.125 0.625
Zr 0.125 0.625 0.625
Zr 0.625 0.625 0.125
Zr 0.625 0.625 0.625
CELL_PARAMETERS angstrom
0.236 -5.460 -2.264
-4.276 -1.886 -3.628
1.130 -0.769 -5.756
! Formation energy from the elements   0.2520 eV per atom

---

! CsNaBeF4, optimized geometry, DFT PBE-GGA; values from VASP
&SYSTEM
  ibrav = 0, nat = 14, ntyp = 4
/
ATOMIC_SPECIES
F 19.00 F.upf
Be 9.01 Be.upf
Na 22.99 Na.upf
Cs 132.91 Cs.upf
ATOMIC_POSITIONS crystal
F 0.966 0.531 0.294
F 0.034 0.031 0.706
F 0.291 0.750 0.182
F 0.394 0.750 0.510
F 0.034 0.469 0.706
F 0.709 0.250 0.818
F 0.966 0.969 0.294
F 0.606 0.250 0.490
Be 0.158 0.750 0.315
Be 0.842 0.250 0.685
Na 0.808 0.750 0.486
Na 0.192 0.250 0.514
Cs 0.370 0.250 0.110
Cs 0.630 0.750 0.890
CELL_PARAMETERS angstrom
-2.541 -4.147 1.835
5.033 -2.271 1.838
0.907 6.373 5.391
! Formation energy (no corrections)   -3.04 eV/atom

---

! RbTlSb, optimized geometry, DFT PBE-GGA; values from VASP
&SYSTEM
  ibrav = 0, nat = 6, ntyp = 3
/
ATOMIC_SPECIES
Tl 204.38 Tl.upf
Rb 85.47 Rb.upf
Sb 121.76 Sb.upf
ATOMIC_POSITIONS crystal
Tl 0.488 0.894 0.289
Tl 0.822 0.227 0.789
Rb 0.155 0.561 0.037
Rb 0.155 0.561 0.541
Sb 0.822 0.227 0.128
Sb 0.822 0.227 0.450
CELL_PARAMETERS angstrom
6.106 0.001 0.000
3.054 5.295 0.000
0.000 0.000 8.999
! Formation energy (no corrections)   -0.08 eV/atom
! Relative energy among the computed polymorphs   4.91 kcal/mol of atoms

---

! LaErMg, optimized geometry, DFT PBE-GGA; values from VASP
&SYSTEM
  ibrav = 0, nat = 6, ntyp = 3
/
ATOMIC_SPECIES
Mg 24.30 Mg.upf
Er 167.26 Er.upf
La 138.91 La.upf
ATOMIC_POSITIONS crystal
Mg 0.477 0.559 0.247
Mg 0.977 0.723 0.081
Er 0.977 0.914 0.390
Er 0.477 0.371 0.938
La 0.477 0.212 0.593
La 0.976 0.074 0.736
CELL_PARAMETERS angstrom
5.450 0.016 -0.717
0.027 3.404 0.256
1.299 2.623 9.825
! Formation energy from the elements   0.0284 eV per atom
! Relative energy among the computed polymorphs   1.65 kcal/mol of atoms

---

! Mg2Hg6Pb, optimized geometry, DFT PBE-GGA; values from VASP
&SYSTEM
  ibrav = 0, nat = 9, ntyp = 3
/
ATOMIC_SPECIES
Hg 200.59 Hg.upf
Mg 24.30 Mg.upf
Pb 207.20 Pb.upf
ATOMIC_POSITIONS crystal
Hg 0.405 0.905 0.809
Hg 0.095 0.595 0.191
Hg 0.250 0.750 0.500
Hg 0.905 0.405 0.809
Hg 0.595 0.095 0.191
Hg 0.750 0.250 0.500
Mg 0.328 0.328 0.655
Mg 0.672 0.672 0.345
Pb 0.000 0.000 0.000
CELL_PARAMETERS angstrom
4.893 0.000 0.000
0.000 4.893 0.000
-2.447 -2.447 10.458
! Formation energy from the elements   -0.0078 eV per atom
! Relative energy among the computed polymorphs   1.15 kcal/mol of atoms

---

! PrEr2UP4, optimized geometry, DFT PBE-GGA; values from VASP
&SYSTEM
  ibrav = 0, nat = 8, ntyp = 4
/
ATOMIC_SPECIES
P 30.97 P.upf
Er 167.26 Er.upf
Pr 140.91 Pr.upf
U 238.03 U.upf
ATOMIC_POSITIONS crystal
P 0.000 0.236 0.744
P 0.500 0.242 0.252
P 0.500 0.758 0.748
P 0.000 0.764 0.256
Er 0.000 0.500 0.500
Er 0.500 0.000 0.500
Pr 0.500 0.500 0.000
U 0.000 0.000 0.000
CELL_PARAMETERS angstrom
4.006 0.000 0.000
0.000 6.968 0.139
0.000 -2.418 6.503
! Formation energy from the elements   -1.4060 eV per atom

---

! NaRe, optimized geometry, DFT PBE-GGA; values from VASP
&SYSTEM
  ibrav = 0, nat = 12, ntyp = 2
/
ATOMIC_SPECIES
Na 22.99 Na.upf
Re 186.21 Re.upf
ATOMIC_POSITIONS crystal
Na 0.000 0.650 0.333
Na 0.000 0.606 0.000
Na 0.500 0.350 0.167
Na 0.500 0.394 0.500
Na 0.000 0.650 0.667
Na 0.500 0.350 0.833
Re 0.000 0.047 0.832
Re 0.000 0.047 0.168
Re 0.000 0.095 0.500
Re 0.500 0.905 0.000
Re 0.500 0.953 0.332
Re 0.500 0.953 0.668
CELL_PARAMETERS angstrom
4.308 0.000 0.000
0.000 6.840 0.000
0.000 0.000 7.943
! Formation energy from the elements   0.7055 eV per atom
! Relative energy among the computed polymorphs   0.00 kcal/mol of atoms

---

! Zn2IrBr, optimized geometry, DFT PBE-GGA; values from VASP
&SYSTEM
  ibrav = 0, nat = 4, ntyp = 3
/
ATOMIC_SPECIES
Zn 65.41 Zn.upf
Ir 192.22 Ir.upf
Br 79.90 Br.upf
ATOMIC_POSITIONS crystal
Zn 0.500 0.500 0.000
Zn 0.000 0.000 0.000
Ir 0.750 0.250 0.500
Br 0.250 0.750 0.500
CELL_PARAMETERS angstrom
-4.776 -1.654 0.224
-0.365 -4.914 1.148
2.476 3.923 2.019
! Formation energy (no corrections)   0.45 eV/atom
! Relative energy among the computed polymorphs   12.22 kcal/mol of atoms

---

! AuSeO, optimized geometry, DFT PBE-GGA; values from VASP
&SYSTEM
  ibrav = 0, nat = 3, ntyp = 3
/
ATOMIC_SPECIES
Au 196.97 Au.upf
Se 78.96 Se.upf
O 16.00 O.upf
ATOMIC_POSITIONS crystal
Au 0.072 0.000 0.073
Se 0.501 0.500 0.923
O 0.303 0.500 0.515
CELL_PARAMETERS angstrom
3.724 0.000 -0.001
0.000 3.706 0.000
-1.817 0.000 4.228
! Formation energy (no corrections)   -0.03 eV/atom
! Relative energy among the computed polymorphs   1.89 kcal/mol of atoms

---

! LiPaReN4, optimized geometry, DFT PBE-GGA; values from VASP
&SYSTEM
  ibrav = 0, nat = 14, ntyp = 4
/
ATOMIC_SPECIES
N 14.01 N.upf
Pa 231.04 Pa.upf
Re 186.21 Re.upf
Li 6.94 Li.upf
ATOMIC_POSITIONS crystal
N 0.062 0.509 0.231
N 0.504 0.750 0.159
N 0.496 0.250 0.841
N 0.451 0.750 0.628
N 0.938 0.009 0.769
N 0.062 0.991 0.231
N 0.938 0.491 0.769
N 0.549 0.250 0.372
Pa 0.761 0.750 0.959
Pa 0.239 0.250 0.041
Re 0.302 0.750 0.330
Re 0.698 0.250 0.670
Li 0.129 0.250 0.485
Li 0.871 0.750 0.515
CELL_PARAMETERS angstrom
5.726 0.000 0.013
0.000 5.676 0.000
-2.196 0.000 6.023
! Formation energy (no corrections)   -0.68 eV/atom

---

Number 1: mass density 8707 kg/m³, total DFT energy (no corrections) -18.306 eV/cell, DOS(E_F) 1.557 states/eV per atom. Number 2: mass density 3077 kg/m³, total DFT energy (no corrections) -19.167 eV/cell, DOS(E_F) 0.491 states/eV per atom. Number 3: mass density 5159 kg/m³, total DFT energy (no corrections) -45.344 eV/cell, DOS(E_F) 2.456 states/eV per atom. Number 4: mass density 3492 kg/m³, total DFT energy (no corrections) -69.278 eV/cell, DOS(E_F) 0.000 states/eV per atom. Number 5: mass density 4698 kg/m³, total DFT energy (no corrections) -15.365 eV/cell, DOS(E_F) 0.351 states/eV per atom. Number 6: mass density 6039 kg/m³, total DFT energy (no corrections) -21.999 eV/cell, DOS(E_F) 1.049 states/eV per atom. Number 7: mass density 9678 kg/m³, total DFT energy (no corrections) -8.778 eV/cell, DOS(E_F) 0.365 states/eV per atom. Number 8: mass density 7605 kg/m³, total DFT energy (no corrections) -58.081 eV/cell, DOS(E_F) 0.917 states/eV per atom. Number 9: mass density 8906 kg/m³, total DFT energy (no corrections) -74.136 eV/cell, DOS(E_F) 0.449 states/eV per atom. Number 10: mass density 10237 kg/m³, total DFT energy (no corrections) -11.282 eV/cell, DOS(E_F) 0.314 states/eV per atom. Number 11: mass density 8309 kg/m³, total DFT energy (no corrections) -11.797 eV/cell, DOS(E_F) 0.308 states/eV per atom. Number 12: mass density 8139 kg/m³, total DFT energy (no corrections) -123.894 eV/cell, DOS(E_F) 0.527 states/eV per atom.